# Li2TbDy2In2

A relaxed Li2TbDy2In2 crystal (PBE, the Alexandria database).

The structure in CIF format:
```
data_Li2TbDy2In2
_cell_length_a 4.855
_cell_length_b 4.855
_cell_length_c 9.234
_cell_angle_alpha 74.76
_cell_angle_beta 74.76
_cell_angle_gamma 60.00
_symmetry_space_group_name_H-M 'P 1'
_symmetry_Int_Tables_number 1
loop_
_symmetry_equiv_pos_as_xyz
'x,y,z'
loop_
_atom_site_label
_atom_site_fract_x
_atom_site_fract_y
_atom_site_fract_z
Li1 0.604 0.604 0.188
Li2 0.396 0.396 0.812
Tb1 0.000 0.000 0.000
Dy1 0.128 0.128 0.617
Dy2 0.872 0.872 0.383
In1 0.738 0.738 0.786
In2 0.262 0.262 0.214
```

For the calculated volume, the calculation gives 25.657 Å³ per atom. The formation enthalpy at 0 K comes out at -225 meV/atom.

# LiDy2InTe4

A relaxed LiDy2InTe4 crystal (PBE, the Alexandria database).

The structure in CIF format:
```
data_LiDy2InTe4
_cell_length_a 4.429
_cell_length_b 7.718
_cell_length_c 15.609
_cell_angle_alpha 90.00
_cell_angle_beta 90.00
_cell_angle_gamma 106.67
_symmetry_space_group_name_H-M 'P 1'
_symmetry_Int_Tables_number 1
loop_
_symmetry_equiv_pos_as_xyz
'x,y,z'
loop_
_atom_site_label
_atom_site_fract_x
_atom_site_fract_y
_atom_site_fract_z
Li1 0.837 0.675 0.750
Li2 0.163 0.325 0.250
Dy1 0.366 0.732 0.564
Dy2 0.634 0.268 0.064
Dy3 0.634 0.268 0.436
Dy4 0.366 0.732 0.936
In1 0.112 0.224 0.750
In2 0.888 0.776 0.250
Te1 0.270 0.540 0.111
Te2 0.730 0.460 0.611
Te3 0.730 0.460 0.889
Te4 0.270 0.540 0.389
Te5 0.000 0.000 0.500
Te6 0.000 0.000 0.000
Te7 0.442 0.884 0.750
Te8 0.558 0.116 0.250
```

For the calculated volume, the calculation gives 31.947 Å³ per atom. Its formation energy (no corrections) is -1092 meV per atom.